Run w
A relaxed structure of RbTcTe2, computed with PBE.

As for the total magnetization: 0.0 μB per formula unit.

It has space group Fm-3m (No. 225), with a = 7.322 Å, b = 7.322 Å, c = 7.322 Å, α = 90.00°, β = 90.00° and γ = 90.00°. The distinct sites, in fractional coordinates, are Rb at (0.000, 0.000, 0.000), Tc at (0.000, 0.000, 0.500) and Te at (0.250, 0.250, 0.250).

***

Run x
A relaxed structure of RbTcTe2, computed with PBE.

As for the total magnetization: 1.8 μB per formula unit.

It has space group R-3m (No. 166, hexagonal axes), with a = 3.9608 Å, b = 3.9608 Å, c = 30.4693 Å, α = 90.00°, β = 90.00° and γ = 120.00°. The distinct sites, in fractional coordinates, are Rb at (0.0000, 0.0000, 0.0000), Tc at (0.0000, 0.0000, 0.5000) and Te at (0.0000, 0.0000, 0.1161).

***

Run y
A relaxed structure of RbTcTe2, computed with PBE.

As for the total magnetization: 0.0 μB per formula unit.

It has space group I-42d (No. 122), with a = 8.111 Å, b = 8.111 Å, c = 9.031 Å, α = 90.00°, β = 90.00° and γ = 90.00°. The distinct sites, in fractional coordinates, are Rb at (0.000, 0.000, 0.000), Tc at (0.000, 0.000, 0.500) and Te at (0.138, 0.250, 0.625).

***

Most stable = run y

***

Run w
A relaxed structure of RbTcTe3, computed with PBE.

As for the total magnetization: 0.0 μB per formula unit.

It has space group Pm-3m (No. 221), with a = 5.950 Å, b = 5.950 Å, c = 5.950 Å, α = 90.00°, β = 90.00° and γ = 90.00°. The distinct sites, in fractional coordinates, are Rb at (0.000, 0.000, 0.000), Tc at (0.500, 0.500, 0.500) and Te at (0.000, 0.000, 0.500).

***

Run x
A relaxed structure of RbTcTe3, computed with PBE.

As for the total magnetization: 2.9 μB per formula unit.

It has space group Pm-3m (No. 221), with a = 5.477 Å, b = 5.477 Å, c = 5.477 Å, α = 90.00°, β = 90.00° and γ = 90.00°. The distinct sites, in fractional coordinates, are Rb at (0.000, 0.000, 0.000), Tc at (0.500, 0.500, 0.500) and Te at (0.000, 0.500, 0.500).

***

Most stable = run x

***

Run w
A relaxed structure of RbTiTc3, computed with PBE.

As for the total magnetization: 4.3 μB per formula unit.

It has space group Pm-3m (No. 221), with a = 4.801 Å, b = 4.801 Å, c = 4.801 Å, α = 90.00°, β = 90.00° and γ = 90.00°. The distinct sites, in fractional coordinates, are Rb at (0.000, 0.000, 0.000), Ti at (0.500, 0.500, 0.500) and Tc at (0.000, 0.500, 0.500).

***

Run x
A relaxed structure of RbTiTc3, computed with PBE.

As for the total magnetization: 0.0 μB per formula unit.

It has space group Pm-3m (No. 221), with a = 4.610 Å, b = 4.610 Å, c = 4.610 Å, α = 90.00°, β = 90.00° and γ = 90.00°. The distinct sites, in fractional coordinates, are Rb at (0.000, 0.000, 0.000), Ti at (0.500, 0.500, 0.500) and Tc at (0.000, 0.000, 0.500).

***

Most stable = run w

***

Run w
A relaxed structure of Rb2TiTc2, computed with PBE.

As for the total magnetization: 2.8 μB per formula unit.

It has space group P4/mbm (No. 127), with a = 10.449 Å, b = 10.449 Å, c = 2.874 Å, α = 90.00°, β = 90.00° and γ = 90.00°. The distinct sites, in fractional coordinates, are Rb at (0.211, 0.289, 0.000), Ti at (0.000, 0.000, 0.500) and Tc at (0.072, 0.572, 0.500).

***

Run x
A relaxed structure of Rb2TiTc2, computed with PBE.

As for the total magnetization: 0.2 μB per formula unit.

It has space group I4/mmm (No. 139), with a = 4.007 Å, b = 4.007 Å, c = 16.051 Å, α = 90.00°, β = 90.00° and γ = 90.00°. The distinct sites, in fractional coordinates, are Rb at (0.000, 0.500, 0.250), Ti at (0.000, 0.000, 0.000) and Tc at (0.000, 0.000, 0.434).

***

Most stable = run x